Record 1
Computed, not measured: CsZnCd4 after structural relaxation at the PBE level of DFT.

The energy relative to the lowest polymorph listed for this composition comes out at 0 meV/atom. The density of states at the Fermi level is 2.22 states/eV/f.u.

```
CsZnCd4
1.0
9.261 -3.588 0.000
9.261 3.588 0.000
-1.817 0.000 5.731
Cs Zn Cd
2 2 8
direct
0.219 0.219 0.161
0.781 0.781 0.839
0.461 0.461 0.264
0.539 0.539 0.736
0.112 0.713 0.470
0.199 0.801 0.000
0.287 0.888 0.530
0.377 0.377 0.784
0.623 0.623 0.216
0.713 0.112 0.470
0.801 0.199 0.000
0.888 0.287 0.530
```

=====

Record 2
Computed, not measured: CsZn2Cd after structural relaxation at the PBE level of DFT.

The density of states at the Fermi level is 2.02 states/eV/f.u.

```
CsZn2Cd
1.0
4.616 0.000 0.000
0.000 7.896 0.000
-2.316 0.000 7.172
Cs Zn Cd
2 4 2
direct
0.039 0.250 0.077
0.961 0.750 0.923
0.252 0.584 0.505
0.252 0.916 0.505
0.748 0.084 0.495
0.748 0.416 0.495
0.307 0.250 0.615
0.693 0.750 0.385
```

=====

Record 3
Computed, not measured: Cs2ZnCd2 after structural relaxation at the PBE level of DFT.

The energy relative to the lowest polymorph listed for this composition comes out at 126 meV/atom. The density of states at the Fermi level is 1.65 states/eV/f.u.

```
Cs2ZnCd2
1.0
4.340 0.000 0.000
0.000 4.340 0.000
0.000 0.000 23.258
Cs Zn Cd
4 2 4
direct
0.000 0.000 0.105
0.000 0.000 0.895
0.500 0.500 0.395
0.500 0.500 0.605
0.000 0.000 0.500
0.500 0.500 0.000
0.000 0.500 0.250
0.000 0.500 0.750
0.500 0.000 0.250
0.500 0.000 0.750
```

=====

Number 1: uncorrected energy -11.44 eV per cell. Number 2: uncorrected energy -8.52 eV per cell. Number 3: uncorrected energy -8.53 eV per cell.